(w)
# Li6PtRh (PBE-GGA, optimized geometry)
data_Li6PtRh
_chemical_formula_sum 'Li6 Pt1 Rh1'
_symmetry_space_group_name_H-M 'P -1'
_symmetry_Int_Tables_number 2
_cell_length_a 4.234
_cell_length_b 4.872
_cell_length_c 6.239
_cell_angle_alpha 71.34
_cell_angle_beta 89.89
_cell_angle_gamma 65.53
loop_
_symmetry_equiv_pos_as_xyz
'x,y,z'
'-x,-y,-z'
loop_
_atom_site_label
_atom_site_fract_x
_atom_site_fract_y
_atom_site_fract_z
Li1 0.000 0.000 0.247
Li2 0.250 0.503 0.625
Li3 0.254 0.495 0.125
Pt1 0.500 0.000 0.500
Rh1 0.500 0.000 0.000
# Fermi-level density of states: 1.8 states/eV/f.u.

=====

(x)
# Li6PtRh (PBE-GGA, optimized geometry)
data_Li6PtRh
_chemical_formula_sum 'Li12 Pt2 Rh2'
_symmetry_space_group_name_H-M 'C 1 2/m 1'
_symmetry_Int_Tables_number 12
_cell_length_a 4.958
_cell_length_b 8.616
_cell_length_c 5.302
_cell_angle_alpha 90.00
_cell_angle_beta 90.06
_cell_angle_gamma 90.00
loop_
_symmetry_equiv_pos_as_xyz
'x,y,z'
'-x,-y,-z'
'-x,y,-z'
'x,-y,z'
'x+1/2,y+1/2,z'
'-x+1/2,-y+1/2,-z'
'-x+1/2,y+1/2,-z'
'x+1/2,-y+1/2,z'
loop_
_atom_site_label
_atom_site_fract_x
_atom_site_fract_y
_atom_site_fract_z
Li1 0.001 0.000 0.251
Li2 0.247 0.250 0.749
Pt1 0.000 0.500 0.000
Rh1 0.000 0.500 0.500
# Fermi-level density of states: 5.1 states/eV/f.u.

=====

Short version: (w), (x), most stable first.

=====

(w)
# Li2PtRh2 (PBE-GGA, optimized geometry)
data_Li2PtRh2
_chemical_formula_sum 'Li4 Pt2 Rh4'
_symmetry_space_group_name_H-M 'P 4/m b m'
_symmetry_Int_Tables_number 127
_symmetry_space_group_name_Hall '-P 4 2ab'
_cell_length_a 6.951
_cell_length_b 6.951
_cell_length_c 2.801
_cell_angle_alpha 90.00
_cell_angle_beta 90.00
_cell_angle_gamma 90.00
loop_
_atom_site_label
_atom_site_fract_x
_atom_site_fract_y
_atom_site_fract_z
Li1 0.172 0.328 0.000
Pt1 0.000 0.000 0.500
Rh1 0.128 0.628 0.500
# Fermi-level density of states: 5.4 states/eV/f.u.

=====

(x)
# Li2PtRh2 (PBE-GGA, optimized geometry)
data_Li2PtRh2
_chemical_formula_sum 'Li4 Pt2 Rh4'
_symmetry_space_group_name_H-M 'P 4/m b m'
_symmetry_Int_Tables_number 127
_symmetry_space_group_name_Hall '-P 4 2ab'
_cell_length_a 6.745
_cell_length_b 6.745
_cell_length_c 2.805
_cell_angle_alpha 90.00
_cell_angle_beta 90.00
_cell_angle_gamma 90.00
loop_
_atom_site_label
_atom_site_fract_x
_atom_site_fract_y
_atom_site_fract_z
Li1 0.114 0.386 0.000
Pt1 0.000 0.000 0.000
Rh1 0.189 0.689 0.500
# Fermi-level density of states: 5.7 states/eV/f.u.

=====

Short version: (x), (w), most stable first.